No. 1
This record from the Open Quantum Materials Database describes a relaxed Zr4BiSbP2 crystal. The functional is GGA-PBE.

SG ... No. 187
Mass density ... 7.2 Mg/m³
Total magnetic moment ... 0.011 μB per cell
Electronic total energy ... -61.65 eV per formula unit

a = 3.8536 Å, b = 3.8536 Å, c = 13.5511 Å
α = 90.00°, β = 90.00°, γ = 120.00°
Last column: nearest neighbours and their distance in Å.
Atoms (fractional coordinates):
Zr: 0.0000 0.0000 0.1453  3 P 2.61
Zr: 0.0000 0.0000 0.8547  3 P 2.61
Zr: 0.6667 0.3333 0.3460  3 P 2.60
Zr: 0.6667 0.3333 0.6540  3 P 2.60
Bi: 0.0000 0.0000 0.5000  6 Zr 3.05
Sb: 0.6667 0.3333 0.0000  6 Zr 2.97
P: 0.3333 0.6667 0.2464  6 Zr 2.60-2.61
P: 0.3333 0.6667 0.7536  6 Zr 2.60-2.61

No. 2
This record from the Open Quantum Materials Database describes a relaxed Zr2Sc2BiP crystal. The functional is GGA-PBE.

SG ... No. 107
Mass density ... 6.6 Mg/m³
Total magnetic moment ... 0.061 μB per cell
Electronic total energy ... -43.46 eV per formula unit

a = 8.3457 Å, b = 8.3457 Å, c = 8.3457 Å
α = 151.76°, β = 151.76°, γ = 40.36°
Last column: nearest neighbours and their distance in Å.
Atoms (fractional coordinates):
Zr: 0.0000 0.5000 0.5000  2 P 2.83, 4 Zr 2.88, 2 Bi 3.13
Zr: 0.5000 0.0000 0.5000  2 P 2.83, 4 Zr 2.88, 2 Bi 3.13
Sc: 0.2012 0.2012 0.0000  1 P 2.71, 4 Bi 2.98
Sc: 0.8404 0.8404 0.0000  4 P 2.93, 1 Bi 2.95, 4 Zr 3.22
Bi: 0.6518 0.6518 0.0000  5 Sc 2.95-2.98, 4 Zr 3.13
P: 0.3742 0.3742 0.0000  5 Sc 2.71-2.93, 4 Zr 2.83

No. 3
This record from the Open Quantum Materials Database describes a relaxed Sm3BiP2 crystal. The functional is GGA-PBE.

SG ... No. 164
Mass density ... 7.4 Mg/m³
Total magnetic moment ... 0.015 μB per cell
Electronic total energy ... -37.06 eV per formula unit

a = 4.1649 Å, b = 4.1649 Å, c = 10.8006 Å
α = 90.00°, β = 90.00°, γ = 120.00°
Last column: nearest neighbours and their distance in Å.
Atoms (fractional coordinates):
Sm: 0.0000 0.0000 0.0000  6 P 2.93
Sm: 0.3333 0.6667 0.6998  3 P 2.87
Sm: 0.6667 0.3333 0.3002  3 P 2.87
Bi: 0.0000 0.0000 0.5000  6 Sm 3.23
P: 0.3333 0.6667 0.1552  6 Sm 2.87-2.93
P: 0.6667 0.3333 0.8448  6 Sm 2.87-2.93

Q: Which value of electronic total energy does entry 1 give?
A: -61.65 eV per formula unit

Q: Which value of mass density does entry 2 give?
A: 6.6 Mg/m³

Q: Number 3 is which compound?
A: Sm3BiP2